Computed, not measured: a geometry-optimized Na2MgGa3Ge4 structure at the PBE-GGA level of DFT.

Structure (POSCAR):
```
Na2MgGa3Ge4
1.0
4.4978 0.0000 0.0000
0.0000 4.4978 0.0000
0.0000 0.0000 10.7684
Na Mg Ga Ge
2 1 3 4
direct
0.0000 0.5000 0.2441
0.5000 0.0000 0.7559
0.0000 0.0000 0.5000
0.0000 0.5000 0.8701
0.5000 0.0000 0.1299
0.5000 0.5000 0.5000
0.0000 0.0000 0.0000
0.0000 0.5000 0.6389
0.5000 0.0000 0.3611
0.5000 0.5000 0.0000
```

**Space-group type**: P-4m2 (115)
**M_tot**: 0.000 μB per atom



Computed, not measured: a geometry-optimized Mg2Ga2Ni5Ge structure at the PBE-GGA level of DFT.

Structure (POSCAR):
```
Mg2Ga2Ni5Ge
1.0
9.3270 0.0000 0.0000
0.0000 9.3270 0.0000
0.0000 0.0000 3.1938
Mg Ga Ni Ge
4 4 10 2
direct
0.1702 0.3298 0.0000
0.3298 0.8298 0.0000
0.6702 0.1702 0.0000
0.8298 0.6702 0.0000
0.1304 0.6304 0.0000
0.3696 0.1304 0.0000
0.6304 0.8696 0.0000
0.8696 0.3696 0.0000
0.0000 0.5000 0.5000
0.0532 0.8070 0.5000
0.1930 0.0532 0.5000
0.3070 0.5532 0.5000
0.4468 0.3070 0.5000
0.5000 0.0000 0.5000
0.5532 0.6930 0.5000
0.6930 0.4468 0.5000
0.8070 0.9468 0.5000
0.9468 0.1930 0.5000
0.0000 0.0000 0.0000
0.5000 0.5000 0.0000
```

**Space-group type**: P4/mbm (127)
**M_tot**: 0.000 μB per atom



Computed, not measured: a geometry-optimized Mg2GaNi5Ge2 structure at the PBE-GGA level of DFT.

Structure (POSCAR):
```
Mg2GaNi5Ge2
1.0
9.2276 0.0000 0.0000
0.0000 9.2276 0.0000
0.0000 0.0000 3.2675
Mg Ga Ni Ge
4 2 10 4
direct
0.1711 0.3289 0.0000
0.3289 0.8289 0.0000
0.6711 0.1711 0.0000
0.8289 0.6711 0.0000
0.0000 0.0000 0.0000
0.5000 0.5000 0.0000
0.0000 0.5000 0.5000
0.0562 0.8012 0.5000
0.1988 0.0562 0.5000
0.3012 0.5562 0.5000
0.4438 0.3012 0.5000
0.5000 0.0000 0.5000
0.5562 0.6988 0.5000
0.6988 0.4438 0.5000
0.8012 0.9438 0.5000
0.9438 0.1988 0.5000
0.1297 0.6297 0.0000
0.3703 0.1297 0.0000
0.6297 0.8703 0.0000
0.8703 0.3703 0.0000
```

**Space-group type**: P4/mbm (127)
**M_tot**: 0.000 μB per atom



Computed, not measured: a geometry-optimized Mg2GaNi4Ge3 structure at the PBE-GGA level of DFT.

Structure (POSCAR):
```
Mg2GaNi4Ge3
1.0
3.7690 0.0000 0.0000
0.0000 3.7690 0.0000
0.0000 0.0000 10.6926
Mg Ga Ni Ge
2 1 4 3
direct
0.0000 0.5000 0.2495
0.5000 0.0000 0.7505
0.0000 0.0000 0.5000
0.0000 0.0000 0.0000
0.0000 0.5000 0.6465
0.5000 0.0000 0.3535
0.5000 0.5000 0.0000
0.0000 0.5000 0.8623
0.5000 0.0000 0.1377
0.5000 0.5000 0.5000
```

**Space-group type**: P-4m2 (115)
**M_tot**: 0.000 μB per atom



ΔE_f across the listed records, respectively: -0.0993; -0.2628; -0.2721; -0.2793 eV per atom.
Calculated total energy across the listed records, respectively: -3.28; -4.54; -4.71; -4.60 eV per atom.